Version a
## KBa2CaHg (PBE)

Data for a relaxed KBa2CaHg crystal.

The space group is P4/mmm (No. 123) and the conventional cell measures 6.720, 6.720 and 6.207 Å, with angles of 90.00, 90.00 and 90.00 degrees. The inequivalent atoms are K at (0.000, 0.000, 0.000), Ba at (0.000, 0.500, 0.500), Ca at (0.500, 0.500, 0.000) and Hg at (0.500, 0.500, 0.500).

The density of states at the Fermi level is 5.049 states/eV/cell. The calculation puts the magnetization at 0.00 μB/cell.

Version b
## KBa2CaHg (PBE)

Data for a relaxed KBa2CaHg crystal.

The space group is P4/mmm (No. 123) and the conventional cell measures 7.172, 7.172 and 5.783 Å, with angles of 90.00, 90.00 and 90.00 degrees. The inequivalent atoms are K at (0.000, 0.000, 0.000), Ba at (0.000, 0.500, 0.500), Ca at (0.500, 0.500, 0.500) and Hg at (0.500, 0.500, 0.000).

The density of states at the Fermi level is 5.346 states/eV/cell. The calculation puts the magnetization at 1.48 μB/cell.

Energetically preferred structure: version a | next structure: +367 meV per atom

Version a
## Ba2LiCaHg (PBE)

Data for a relaxed Ba2LiCaHg crystal.

The space group is P4/mmm (No. 123) and the conventional cell measures 6.699, 6.699 and 5.184 Å, with angles of 90.00, 90.00 and 90.00 degrees. The inequivalent atoms are Ba at (0.000, 0.500, 0.000), Li at (0.000, 0.000, 0.500), Ca at (0.500, 0.500, 0.500) and Hg at (0.000, 0.000, 0.000).

The density of states at the Fermi level is 4.616 states/eV/cell. The calculation puts the magnetization at 0.00 μB/cell.

Version b
## Ba2LiCaHg (PBE)

Data for a relaxed Ba2LiCaHg crystal.

The space group is P4/mmm (No. 123) and the conventional cell measures 6.577, 6.577 and 6.027 Å, with angles of 90.00, 90.00 and 90.00 degrees. The inequivalent atoms are Ba at (0.000, 0.500, 0.000), Li at (0.000, 0.000, 0.500), Ca at (0.500, 0.500, 0.500) and Hg at (0.500, 0.500, 0.000).

The density of states at the Fermi level is 4.046 states/eV/cell. The calculation puts the magnetization at 0.00 μB/cell.

Energetically preferred structure: version a | next structure: +30 meV per atom

Version a
## BaNaCa2Hg (PBE)

Data for a relaxed BaNaCa2Hg crystal.

The space group is P4/mmm (No. 123) and the conventional cell measures 6.053, 6.053 and 6.495 Å, with angles of 90.00, 90.00 and 90.00 degrees. The inequivalent atoms are Ba at (0.000, 0.000, 0.000), Na at (0.500, 0.500, 0.000), Ca at (0.000, 0.500, 0.500) and Hg at (0.000, 0.000, 0.500).

The density of states at the Fermi level is 4.121 states/eV/cell. The calculation puts the magnetization at 0.00 μB/cell.

Version b
## BaNaCa2Hg (PBE)

Data for a relaxed BaNaCa2Hg crystal.

The space group is P4/mmm (No. 123) and the conventional cell measures 6.014, 6.014 and 6.012 Å, with angles of 90.00, 90.00 and 90.00 degrees. The inequivalent atoms are Ba at (0.000, 0.000, 0.000), Na at (0.500, 0.500, 0.000), Ca at (0.000, 0.500, 0.500) and Hg at (0.500, 0.500, 0.500).

The density of states at the Fermi level is 6.050 states/eV/cell. The calculation puts the magnetization at 0.00 μB/cell.

Energetically preferred structure: version a | next structure: +13 meV per atom

Version a
## BaCa2NiHg (PBE)

Data for a relaxed BaCa2NiHg crystal.

The space group is P4/mmm (No. 123) and the conventional cell measures 5.457, 5.457 and 5.948 Å, with angles of 90.00, 90.00 and 90.00 degrees. The inequivalent atoms are Ba at (0.000, 0.000, 0.000), Ca at (0.000, 0.500, 0.500), Ni at (0.000, 0.000, 0.500) and Hg at (0.500, 0.500, 0.000).

The density of states at the Fermi level is 3.042 states/eV/cell. The calculation puts the magnetization at 0.00 μB/cell.

Version b
## BaCa2NiHg (PBE)

Data for a relaxed BaCa2NiHg crystal.

The space group is P4/mmm (No. 123) and the conventional cell measures 5.428, 5.428 and 5.318 Å, with angles of 90.00, 90.00 and 90.00 degrees. The inequivalent atoms are Ba at (0.000, 0.000, 0.000), Ca at (0.000, 0.500, 0.500), Ni at (0.500, 0.500, 0.500) and Hg at (0.500, 0.500, 0.000).

The density of states at the Fermi level is 4.862 states/eV/cell. The calculation puts the magnetization at 0.00 μB/cell.

Energetically preferred structure: version a | next structure: +6 meV per atom